[1]
First-principles (GGA-PBE) data for an optimized crystal structure of MnHg2Au, as listed in Alexandria.

## Properties
The calculation puts the energy of formation at 0.9 eV per formula unit. As for the mass density: 13.26 g cm⁻³. Its symmetry is P2/m, No. 10.

Cell lengths 4.9057, 3.3074, 5.0426 Å; angles 91.31, 90.00, 90.00 degrees
Last column: nearest neighbours and their distance in Å.
Sites, in units of the cell vectors:
Hg 0.0000 0.5050 0.4953  2 Mn 2.87, 2 Au 2.88, 4 Hg 2.96-3.10
Hg 0.0000 0.9950 0.0047  2 Mn 2.87, 2 Au 2.88, 4 Hg 2.96-3.10
Mn 0.5000 0.2500 0.2500  4 Hg 2.87, 4 Au 2.98-3.05
Au 0.5000 0.7500 0.7500  4 Hg 2.88, 4 Mn 2.98-3.05

=====

[2]
First-principles (GGA-PBE) data for an optimized crystal structure of MnHgAu, as listed in Alexandria.

## Properties
The calculation puts the energy of formation at 0.7 eV per formula unit. As for the mass density: 11.82 g cm⁻³. Its symmetry is F-43m, No. 216.

Cell lengths 4.4803, 4.4803, 4.4803 Å; angles 60.00, 60.00, 60.00 degrees
Last column: nearest neighbours and their distance in Å.
Sites, in units of the cell vectors:
Hg 0.5000 0.5000 0.5000  4 Mn 2.74
Mn 0.7500 0.7500 0.7500  4 Au 2.74, 4 Hg 2.74
Au 0.0000 0.0000 0.0000  4 Mn 2.74

=====

[3]
First-principles (GGA-PBE) data for an optimized crystal structure of MnHg2Au, as listed in Alexandria.

## Properties
The calculation puts the energy of formation at 0.8 eV per formula unit. As for the mass density: 13.79 g cm⁻³. Its symmetry is P4/mmm, No. 123.

Cell lengths 4.2690, 4.2690, 4.3143 Å; angles 90.00, 90.00, 89.95 degrees
Last column: nearest neighbours and their distance in Å.
Sites, in units of the cell vectors:
Hg 0.5000 0.5000 0.0000  4 Hg 3.02, 4 Mn 3.03, 4 Au 3.03
Hg 0.0000 0.0000 0.0000  4 Hg 3.02, 4 Au 3.03, 4 Mn 3.03
Au 0.0000 0.5000 0.5000  4 Mn 3.02, 8 Hg 3.03
Mn 0.5000 0.0000 0.5000  4 Au 3.02, 8 Hg 3.03

=====

[4]
First-principles (GGA-PBE) data for an optimized crystal structure of MnHg3Au, as listed in Alexandria.

## Properties
The calculation puts the energy of formation at 2.9 eV per formula unit. As for the mass density: 10.02 g cm⁻³. Its symmetry is Pm-3m, No. 221.

Cell lengths 5.2114, 5.2114, 5.2114 Å; angles 90.00, 90.00, 90.00 degrees
Last column: nearest neighbours and their distance in Å.
Sites, in units of the cell vectors:
Hg 0.0000 0.0000 0.5000  2 Mn 2.61
Hg 0.5000 0.0000 0.0000  2 Mn 2.61
Hg 0.0000 0.5000 0.0000  2 Mn 2.61
Mn 0.0000 0.0000 0.0000  6 Hg 2.61
Au 0.5000 0.5000 0.5000  12 Hg 3.69

=====

[5]
First-principles (GGA-PBE) data for an optimized crystal structure of MnHg2Au, as listed in Alexandria.

## Properties
The calculation puts the energy of formation at 0.8 eV per formula unit. As for the mass density: 13.72 g cm⁻³. Its symmetry is C2/m, No. 12.

Cell lengths 5.0228, 5.0228, 5.1275 Å; angles 76.67, 76.67, 39.06 degrees
Last column: nearest neighbours and their distance in Å.
Sites, in units of the cell vectors:
Hg 0.4950 0.4950 0.5068  3 Mn 2.89-2.98, 3 Au 2.93-2.97, 4 Hg 3.03-3.10
Hg 0.0050 0.0050 0.9932  3 Mn 2.89-2.98, 3 Au 2.93-2.97, 4 Hg 3.03-3.10
Au 0.2500 0.2500 0.2500  6 Hg 2.93-2.97, 4 Mn 3.06
Mn 0.7500 0.7500 0.7500  6 Hg 2.89-2.98, 4 Au 3.06

=====

[6]
First-principles (GGA-PBE) data for an optimized crystal structure of MnHgAu, as listed in Alexandria.

## Properties
The calculation puts the energy of formation at 0.3 eV per formula unit. As for the mass density: 13.58 g cm⁻³. Its symmetry is I4mm, No. 107.

Cell lengths 5.1823, 5.1823, 5.1823 Å; angles 140.71, 140.74, 56.75 degrees
Last column: nearest neighbours and their distance in Å.
Sites, in units of the cell vectors:
Hg 0.3312 0.3312 0.0000  5 Mn 2.92-2.99, 5 Au 2.93-2.95
Mn 0.6587 0.6587 0.0000  4 Au 2.81, 5 Hg 2.92-2.99
Au 0.0100 0.0100 0.0000  4 Mn 2.81, 5 Hg 2.93-2.95